1.
SmHo2Zn2Si2 | PBE-GGA | relaxed

Cell lengths 4.0752, 4.0752, 33.3780 Å; angles 90.00, 90.00, 120.00 degrees
Space group R-3m (No. 166, hexagonal axes)
Unique sites:
Sm (0.0000, 0.0000, 0.0000) (multiplicity 3)
Ho (0.0000, 0.0000, 0.1228) (multiplicity 6)
Zn (0.0000, 0.0000, 0.3956) (multiplicity 6)
Si (0.0000, 0.0000, 0.2688) (multiplicity 6)

Properties
- Uncorrected formation energy: -44 kJ per mole of atoms



2.
Zn5FePd6 | PBE-GGA | relaxed

Cell lengths 4.4796, 5.8130, 7.3330 Å; angles 113.24, 99.40, 90.02 degrees
Space group P-1 (No. 2)
Unique sites:
Zn (0.0000, 0.0000, 0.0000) (multiplicity 1)
Zn (0.3355, 0.3356, 0.6703) (multiplicity 2)
Zn (0.3357, 0.8326, 0.6655) (multiplicity 2)
Fe (0.0000, 0.5000, 0.0000) (multiplicity 1)
Pd (0.1638, 0.4164, 0.3326) (multiplicity 2)
Pd (0.1642, 0.9163, 0.3328) (multiplicity 2)
Pd (0.4997, 0.2501, 0.9996) (multiplicity 2)

Properties
- ΔE_f: -458.0 meV per atom



3.
TeRh2Au | PBE-GGA | relaxed

Cell lengths 3.3146, 3.3146, 6.2571 Å; angles 90.00, 90.00, 90.00 degrees
Space group P4/mmm (No. 123)
Unique sites:
Te (0.0000, 0.0000, 0.0000) (multiplicity 1)
Rh (0.5000, 0.5000, 0.2382) (multiplicity 2)
Au (0.0000, 0.0000, 0.5000) (multiplicity 1)

Properties
- Uncorrected formation energy: 3 kJ per mole of atoms